No. 1
Compound: MgZn3Se
Source: Alexandria
Functional: PBE
Structure: relaxed

## Properties
SG: Pm-3m, No. 221
Energy above the lowest structure with this stoichiometry: 647 meV per atom
Uncorrected formation energy: 594 meV/atom
Crystal system: cubic
DOS(E_F): 0.884 states/eV per atom

POSCAR file:
```
MgZn3Se
1.0
5.067 0.000 0.000
0.000 5.067 0.000
0.000 0.000 5.067
Zn Mg Se
3 1 1
Direct
0.000 0.500 0.000 Zn
0.000 0.000 0.500 Zn
0.500 0.000 0.000 Zn
0.000 0.000 0.000 Mg
0.500 0.500 0.500 Se
```



No. 2
Compound: CaAcBiTe
Source: Alexandria
Functional: PBE
Structure: relaxed

## Properties
SG: F-43m, No. 216
Energy above the lowest structure with this stoichiometry: 200 meV per atom
Uncorrected formation energy: -1065 meV/atom
Crystal system: cubic
DOS(E_F): 0.087 states/eV per atom

POSCAR file:
```
CaAcBiTe
1.0
-1.671 -1.342 -5.329
-4.949 -2.792 -0.841
-4.464 2.721 -2.381
Ac Te Bi Ca
1 1 1 1
Direct
0.000 0.000 0.000 Ac
0.750 0.750 0.750 Te
0.250 0.250 0.250 Bi
0.500 0.500 0.500 Ca
```



No. 3
Compound: Ho2Co3P4Ru
Source: Alexandria
Functional: PBE
Structure: relaxed

## Properties
SG: P-4m2, No. 115
Formation energy from the elements: -1.021 eV per atom
Crystal system: tetragonal
DOS(E_F): 0.466 states/eV per atom

POSCAR file:
```
Ho2Co3P4Ru
1.0
-0.180 3.572 -1.683
-1.935 -1.549 -3.080
-7.930 1.574 4.190
Ho Co P Ru
2 3 4 1
Direct
0.500 0.000 0.237 Ho
0.000 0.500 0.763 Ho
0.000 0.000 0.500 Co
0.500 0.000 0.888 Co
0.000 0.500 0.112 Co
0.500 0.500 0.000 P
0.000 0.000 0.000 P
0.500 0.000 0.641 P
0.000 0.500 0.359 P
0.500 0.500 0.500 Ru
```